[1]
# CaTmAgGe | Alexandria | GGA-PBE | relaxed
# **Crystal system**: cubic
# **E_form**: -514 meV per atom
data_CaTmAgGe
_symmetry_space_group_name_H-M 'F -4 3 m'
_symmetry_Int_Tables_number 216
_symmetry_space_group_name_Hall 'F -4 2 3'
_cell_length_a 7.189
_cell_length_b 7.189
_cell_length_c 7.189
_cell_angle_alpha 90.00
_cell_angle_beta 90.00
_cell_angle_gamma 90.00
loop_
_atom_site_label
_atom_site_type_symbol
_atom_site_fract_x
_atom_site_fract_y
_atom_site_fract_z
Ca1 Ca 0.000 0.000 0.000
Tm1 Tm 0.000 0.000 0.500
Ag1 Ag 0.250 0.250 0.250
Ge1 Ge 0.250 0.250 0.750

---

[2]
# CaVAg2Ge | Alexandria | GGA-PBE | relaxed
# **Crystal system**: tetragonal
# **E_form**: 931 meV per atom
data_CaVAg2Ge
_symmetry_space_group_name_H-M 'P 4/m m m'
_symmetry_Int_Tables_number 123
_symmetry_space_group_name_Hall '-P 4 2'
_cell_length_a 4.877
_cell_length_b 4.877
_cell_length_c 5.441
_cell_angle_alpha 90.00
_cell_angle_beta 90.00
_cell_angle_gamma 90.00
loop_
_atom_site_label
_atom_site_type_symbol
_atom_site_fract_x
_atom_site_fract_y
_atom_site_fract_z
Ca1 Ca 0.000 0.000 0.000
V1 V 0.500 0.500 0.000
Ag1 Ag 0.000 0.500 0.500
Ge1 Ge 0.000 0.000 0.500

---

[3]
# CaV2AgGe | Alexandria | GGA-PBE | relaxed
# **Crystal system**: tetragonal
# **E_form**: 1923 meV per atom
data_CaV2AgGe
_symmetry_space_group_name_H-M 'P 4/m m m'
_symmetry_Int_Tables_number 123
_symmetry_space_group_name_Hall '-P 4 2'
_cell_length_a 4.464
_cell_length_b 4.464
_cell_length_c 5.148
_cell_angle_alpha 90.00
_cell_angle_beta 90.00
_cell_angle_gamma 90.00
loop_
_atom_site_label
_atom_site_type_symbol
_atom_site_fract_x
_atom_site_fract_y
_atom_site_fract_z
Ca1 Ca 0.000 0.000 0.000
V1 V 0.000 0.500 0.000
Ag1 Ag 0.500 0.500 0.500
Ge1 Ge 0.000 0.000 0.500